DFT (PBE) results for a geometry-optimized Zn5Ru structure.

## Properties
D(E_F): 2.6 states/eV per cell
Symmetry: Immm, No. 71
ΔE_f: -0.101 eV/atom
Energy: -2.71 eV/atom

Cell lengths 4.2093, 5.0889, 5.3102 Å; angles 58.58, 90.00, 114.43 degrees
Positions (direct):
Zn 0.9700 0.9401 0.7009
Zn 0.3056 0.6111 0.6111
Zn 0.6411 0.2821 0.5214
Zn 0.6409 0.2817 0.0294
Zn 0.9702 0.9405 0.1928
Ru 0.3056 0.6111 0.1111